i) The following is a DFT calculation (PBE-GGA) of a relaxed KSbPt crystal.

The calculation puts the volume at 181.1 Å³/cell.

Lattice parameters (Å, degrees): 4.5997 6.5008 6.9937 112.19 109.05 90.25
Element x y z (fractional)
K  0.1200  0.2932  0.2429
K  0.8800  0.7068  0.7571
Sb  0.3970  0.2372  0.7937
Sb  0.6030  0.7628  0.2063
Pt  0.2023  0.8668  0.4051
Pt  0.7977  0.1332  0.5949

ii) The following is a DFT calculation (PBE-GGA) of a relaxed KSbPt crystal.

The calculation puts the volume at 349.6 Å³/cell.

Lattice parameters (Å, degrees): 7.0445 7.0445 7.0445 90.00 90.00 90.00
Element x y z (fractional)
K  0.0000  0.0000  0.0000
K  0.0000  0.5000  0.5000
K  0.5000  0.0000  0.5000
K  0.5000  0.5000  0.0000
Sb  0.2500  0.2500  0.2500
Sb  0.2500  0.7500  0.7500
Sb  0.7500  0.2500  0.7500
Sb  0.7500  0.7500  0.2500
Pt  0.2500  0.2500  0.7500
Pt  0.2500  0.7500  0.2500
Pt  0.7500  0.2500  0.2500
Pt  0.7500  0.7500  0.7500

Short version: i) is the most stable of them.

i) The following is a DFT calculation (PBE-GGA) of a relaxed K2Sb2Pt3 crystal.

The calculation puts the volume at 395.3 Å³/cell.

Lattice parameters (Å, degrees): 12.8329 4.2480 9.5700 90.00 130.74 90.00
Element x y z (fractional)
K  0.0810  0.0000  0.2590
K  0.4190  0.5000  0.7410
K  0.5810  0.5000  0.2590
K  0.9190  0.0000  0.7410
Sb  0.1838  0.0000  0.7251
Sb  0.3162  0.5000  0.2749
Sb  0.6838  0.5000  0.7251
Sb  0.8162  0.0000  0.2749
Pt  0.0000  0.5000  0.5000
Pt  0.1824  0.5000  0.8814
Pt  0.3176  0.0000  0.1186
Pt  0.5000  0.0000  0.5000
Pt  0.6824  0.0000  0.8814
Pt  0.8176  0.5000  0.1186

ii) The following is a DFT calculation (PBE-GGA) of a relaxed K2Sb2Pt3 crystal.

The calculation puts the volume at 210.2 Å³/cell.

Lattice parameters (Å, degrees): 12.0115 12.0115 12.0115 21.84 21.84 21.84
Element x y z (fractional)
K  0.0000  0.0000  0.0000
K  0.4967  0.4967  0.4967
Sb  0.2482  0.2482  0.2482
Sb  0.7424  0.7424  0.7424
Pt  0.4040  0.4040  0.4040
Pt  0.5934  0.5934  0.5934
Pt  0.9008  0.9008  0.9008

Short version: i) is the most stable of them.